Record 1
Material: Gd3ErTm2Te2Ir
Method: DFT, PBE-GGA
State: optimized geometry

Total DFT energy (no corrections): -50.59 eV per cell
Symmetry: Amm2 (38)
Spin magnetization: 0.0 μB/f.u.

Cell lengths 4.0011, 8.3163, 8.3163 Å; angles 120.05, 90.00, 90.00 degrees
Closest atoms and distances in Å follow each position.
Fractional positions:
Gd 0.0000 0.0000 0.0000  4 Te 3.24, 1 Ir 3.30, 4 Tm 3.51, 2 Er 3.62
Gd 0.0000 0.2032 0.6019  4 Te 3.23-3.24, 1 Ir 3.32, 2 Tm 3.51, 2 Er 3.52
Gd 0.0000 0.6019 0.2032  4 Te 3.23-3.24, 1 Ir 3.32, 2 Tm 3.51, 2 Er 3.52
Er 0.5000 0.3633 0.3633  2 Ir 2.82
Tm 0.5000 0.6019 0.8400  2 Ir 2.81
Tm 0.5000 0.8400 0.6019  2 Ir 2.81
Te 0.5000 0.2686 0.9349  6 Gd 3.23-3.24, 2 Tm 3.24, 1 Er 3.24
Te 0.5000 0.9349 0.2686  6 Gd 3.23-3.24, 2 Tm 3.24, 1 Er 3.24
Ir 0.0000 0.6031 0.6031  4 Tm 2.81, 2 Er 2.82

Record 2
Material: GdErZnIr2
Method: DFT, PBE-GGA
State: optimized geometry

Total DFT energy (no corrections): -32.15 eV per cell
Formation energy: -0.791 eV/atom
Symmetry: Imm2 (44)
Spin magnetization: 0.0 μB/f.u.

Cell lengths 5.4850, 5.4850, 5.4850 Å; angles 135.30, 115.97, 81.45 degrees
Closest atoms and distances in Å follow each position.
Fractional positions:
Gd 0.0000 0.0000 0.0000  6 Ir 2.93-3.00, 2 Zn 3.24
Er 0.4058 0.4058 0.0000  6 Ir 2.93-3.00, 2 Zn 3.22
Zn 0.7016 0.2016 0.5000  4 Ir 2.61
Ir 0.4330 0.7031 0.7299  2 Zn 2.61, 1 Ir 2.67
Ir 0.9731 0.7031 0.2701  2 Zn 2.61, 1 Ir 2.67

Record 3
Material: LiGdEr
Method: DFT, PBE-GGA
State: optimized geometry

Total DFT energy (no corrections): -9.58 eV per cell
Relative energy among the computed polymorphs: 0.00 eV per formula unit
Symmetry: F-43m (216)
Spin magnetization: 0.0 μB/f.u.

Cell lengths 5.0350, 5.0350, 5.0350 Å; angles 60.00, 60.00, 60.00 degrees
Closest atoms and distances in Å follow each position.
Fractional positions:
Li 0.0000 0.0000 0.0000  4 Er 3.08, 4 Gd 3.08
Gd 0.2500 0.2500 0.2500  4 Li 3.08
Er 0.7500 0.7500 0.7500  4 Li 3.08

Record 4
Material: Gd2ErLu
Method: DFT, PBE-GGA
State: optimized geometry

Total DFT energy (no corrections): -36.71 eV per cell
Formation energy: 0.010 eV/atom
Relative energy among the computed polymorphs: 0.02 eV per formula unit
Symmetry: Ama2 (40)
Spin magnetization: 0.0 μB/f.u.

Cell lengths 5.6072, 7.1701, 7.1701 Å; angles 120.01, 90.00, 90.00 degrees
Closest atoms and distances in Å follow each position.
Fractional positions:
Gd 0.2500 0.0832 0.4170  4 Er 3.49-3.59, 4 Gd 3.49-3.59, 4 Lu 3.49-3.59
Gd 0.2500 0.0830 0.9170  6 Gd 3.48-3.59, 4 Er 3.48-3.60, 2 Lu 3.57-3.60
Gd 0.7500 0.4170 0.0832  4 Er 3.49-3.59, 4 Gd 3.49-3.59, 4 Lu 3.49-3.59
Gd 0.7500 0.9170 0.0830  6 Gd 3.48-3.59, 4 Er 3.48-3.60, 2 Lu 3.57-3.60
Er 0.2500 0.5851 0.9179  8 Gd 3.48-3.60, 4 Lu 3.48-3.59
Er 0.7500 0.9179 0.5851  8 Gd 3.48-3.60, 4 Lu 3.48-3.59
Lu 0.2500 0.5851 0.4182  4 Er 3.48-3.59, 2 Lu 3.49, 6 Gd 3.49-3.60
Lu 0.7500 0.4182 0.5851  4 Er 3.48-3.59, 2 Lu 3.49, 6 Gd 3.49-3.60

Record 5
Material: Gd2ErLu
Method: DFT, PBE-GGA
State: optimized geometry

Total DFT energy (no corrections): -36.74 eV per cell
Formation energy: 0.006 eV/atom
Relative energy among the computed polymorphs: 0.00 eV per formula unit
Symmetry: Cmcm (63)
Spin magnetization: 0.2 μB/f.u.

Cell lengths 7.1679, 7.1679, 5.6056 Å; angles 90.00, 90.00, 119.93 degrees
Closest atoms and distances in Å follow each position.
Fractional positions:
Gd 0.1665 0.3345 0.2500  4 Lu 3.48-3.60, 4 Er 3.49-3.60, 4 Gd 3.49-3.59
Gd 0.3345 0.1665 0.7500  4 Lu 3.48-3.60, 4 Er 3.49-3.60, 4 Gd 3.49-3.59
Gd 0.6655 0.8335 0.2500  4 Lu 3.48-3.60, 4 Er 3.49-3.60, 4 Gd 3.49-3.59
Gd 0.8335 0.6655 0.7500  4 Lu 3.48-3.60, 4 Er 3.49-3.60, 4 Gd 3.49-3.59
Er 0.1675 0.8325 0.2500  4 Lu 3.47-3.59, 8 Gd 3.49-3.60
Er 0.8325 0.1675 0.7500  4 Lu 3.47-3.59, 8 Gd 3.49-3.60
Lu 0.3328 0.6672 0.7500  4 Er 3.47-3.59, 8 Gd 3.48-3.60
Lu 0.6672 0.3328 0.2500  4 Er 3.47-3.59, 8 Gd 3.48-3.60

Record 6
Material: Gd2ErLu
Method: DFT, PBE-GGA
State: optimized geometry

Total DFT energy (no corrections): -36.70 eV per cell
Formation energy: 0.011 eV/atom
Relative energy among the computed polymorphs: 0.02 eV per formula unit
Symmetry: Amm2 (38)
Spin magnetization: 0.0 μB/f.u.

Cell lengths 5.6088, 7.1725, 7.1725 Å; angles 60.00, 90.00, 90.00 degrees
Closest atoms and distances in Å follow each position.
Fractional positions:
Gd 0.0000 0.0000 0.0000  4 Er 3.49-3.59, 4 Lu 3.49, 4 Gd 3.58-3.59
Gd 0.0000 0.0003 0.4989  4 Er 3.48-3.59, 2 Lu 3.48, 6 Gd 3.49-3.60
Gd 0.0000 0.4989 0.0003  4 Er 3.48-3.59, 2 Lu 3.48, 6 Gd 3.49-3.60
Gd 0.5000 0.6667 0.6667  4 Gd 3.49, 4 Er 3.49-3.59, 4 Lu 3.58-3.59
Er 0.0000 0.4995 0.4995  4 Lu 3.48, 8 Gd 3.49-3.59
Er 0.5000 0.1672 0.1672  8 Gd 3.48-3.59, 4 Lu 3.57-3.60
Lu 0.5000 0.1668 0.6652  4 Er 3.48-3.60, 6 Gd 3.48-3.59, 2 Lu 3.57-3.60
Lu 0.5000 0.6652 0.1668  4 Er 3.48-3.60, 6 Gd 3.48-3.59, 2 Lu 3.57-3.60

Record 7
Material: GdEr2Lu
Method: DFT, PBE-GGA
State: optimized geometry

Total DFT energy (no corrections): -36.59 eV per cell
Formation energy: 0.003 eV/atom
Symmetry: Cmcm (63)
Spin magnetization: 0.1 μB/f.u.

Cell lengths 7.1258, 7.1258, 5.5713 Å; angles 90.00, 90.00, 120.01 degrees
Closest atoms and distances in Å follow each position.
Fractional positions:
Gd 0.1667 0.8333 0.7500  4 Lu 3.47-3.56, 8 Er 3.47-3.56
Gd 0.8333 0.1667 0.2500  4 Lu 3.47-3.56, 8 Er 3.47-3.56
Er 0.1686 0.3344 0.7500  4 Lu 3.46-3.58, 4 Er 3.46-3.58, 4 Gd 3.47-3.56
Er 0.3344 0.1686 0.2500  4 Lu 3.46-3.58, 4 Er 3.46-3.58, 4 Gd 3.47-3.56
Er 0.6656 0.8314 0.7500  4 Lu 3.46-3.58, 4 Er 3.46-3.58, 4 Gd 3.47-3.56
Er 0.8314 0.6656 0.2500  4 Lu 3.46-3.58, 4 Er 3.46-3.58, 4 Gd 3.47-3.56
Lu 0.3343 0.6657 0.2500  8 Er 3.46-3.58, 4 Gd 3.47-3.56
Lu 0.6657 0.3343 0.7500  8 Er 3.46-3.58, 4 Gd 3.47-3.56

Record 8
Material: GdEr2Lu5
Method: DFT, PBE-GGA
State: optimized geometry

Total DFT energy (no corrections): -36.38 eV per cell
Formation energy: 0.002 eV/atom
Symmetry: Amm2 (38)
Spin magnetization: 0.2 μB/f.u.

Cell lengths 5.5005, 7.0747, 7.0747 Å; angles 59.99, 90.00, 90.00 degrees
Closest atoms and distances in Å follow each position.
Fractional positions:
Gd 0.0000 0.0000 0.0000  8 Lu 3.43-3.54, 4 Er 3.43-3.54
Er 0.0000 0.5003 0.5003  10 Lu 3.43-3.55, 2 Gd 3.54
Er 0.5000 0.8327 0.8327  10 Lu 3.42-3.55, 2 Gd 3.43
Lu 0.0000 0.4995 0.9989  6 Lu 3.42-3.54, 4 Er 3.42-3.55, 2 Gd 3.53-3.54
Lu 0.0000 0.9989 0.4995  6 Lu 3.42-3.54, 4 Er 3.42-3.55, 2 Gd 3.53-3.54
Lu 0.5000 0.3326 0.3326  8 Lu 3.43-3.55, 4 Er 3.43-3.54
Lu 0.5000 0.3334 0.8336  6 Lu 3.42-3.55, 4 Er 3.43-3.55, 2 Gd 3.43
Lu 0.5000 0.8336 0.3334  6 Lu 3.42-3.55, 4 Er 3.43-3.55, 2 Gd 3.43

Record 9
Material: GdEr2Lu
Method: DFT, PBE-GGA
State: optimized geometry

Total DFT energy (no corrections): -36.58 eV per cell
Formation energy: 0.004 eV/atom
Symmetry: Amm2 (38)
Spin magnetization: 0.1 μB/f.u.

Cell lengths 5.5714, 7.1253, 7.1253 Å; angles 60.01, 90.00, 90.00 degrees
Closest atoms and distances in Å follow each position.
Fractional positions:
Gd 0.0000 0.0000 0.0000  8 Er 3.47-3.56, 4 Lu 3.56
Gd 0.5000 0.3333 0.3333  4 Lu 3.47, 8 Er 3.47-3.56
Er 0.0000 0.5009 0.5009  4 Er 3.46, 4 Gd 3.47-3.56, 4 Lu 3.54-3.58
Er 0.5000 0.3351 0.8324  2 Lu 3.46, 6 Er 3.46-3.58, 4 Gd 3.47-3.56
Er 0.5000 0.8324 0.3351  2 Lu 3.46, 6 Er 3.46-3.58, 4 Gd 3.47-3.56
Er 0.5000 0.8324 0.8324  4 Lu 3.46, 4 Gd 3.47-3.56, 4 Er 3.54-3.58
Lu 0.0000 0.5008 0.9980  6 Er 3.46-3.58, 4 Gd 3.47-3.56, 2 Lu 3.54-3.58
Lu 0.0000 0.9980 0.5008  6 Er 3.46-3.58, 4 Gd 3.47-3.56, 2 Lu 3.54-3.58

Record 10
Material: GdEr6Lu
Method: DFT, PBE-GGA
State: optimized geometry

Total DFT energy (no corrections): -36.53 eV per cell
Formation energy: 0.003 eV/atom
Symmetry: P-6m2 (187)
Spin magnetization: 0.3 μB/f.u.

Cell lengths 7.1379, 7.1379, 5.5495 Å; angles 90.00, 90.00, 120.00 degrees
Closest atoms and distances in Å follow each position.
Fractional positions:
Gd 0.0000 0.0000 0.0000  12 Er 3.46-3.57
Er 0.0021 0.5011 0.0000  8 Er 3.45-3.59, 2 Lu 3.46, 2 Gd 3.57
Er 0.1677 0.3353 0.5000  8 Er 3.45-3.59, 2 Gd 3.46, 2 Lu 3.57
Er 0.1677 0.8323 0.5000  8 Er 3.45-3.59, 2 Gd 3.46, 2 Lu 3.57
Er 0.4989 0.5011 0.0000  8 Er 3.45-3.59, 2 Lu 3.46, 2 Gd 3.57
Er 0.4989 0.9979 0.0000  8 Er 3.45-3.59, 2 Lu 3.46, 2 Gd 3.57
Er 0.6647 0.8323 0.5000  8 Er 3.45-3.59, 2 Gd 3.46, 2 Lu 3.57
Lu 0.6667 0.3333 0.5000  12 Er 3.46-3.57

Question: Look up the total DFT energy (no corrections) of the first one.
Answer: -50.59 eV per cell

Question: spin magnetization of number 2 (GdErZnIr2)?
Answer: 0.0 μB/f.u.

Question: Among the records above, which one has the lowest total DFT energy (no corrections)?
Answer: Gd3ErTm2Te2Ir